(1)
KSb2As2, relaxed, DFT PBE-GGA; energy relative to the elements, uncorrected = 0.06 eV/atom; energy above the lowest structure with this stoichiometry = 1.01 eV/f.u.; symmetry = P4/mbm
1.0
8.2793 0.0000 0.0000
0.0000 8.2793 0.0000
0.0000 0.0000 3.9277
K Sb As
2 4 4
direct
0.0000 0.0000 0.0000
0.5000 0.5000 0.0000
0.1416 0.3584 0.5000
0.3584 0.8584 0.5000
0.6416 0.1416 0.5000
0.8584 0.6416 0.5000
0.1384 0.6384 0.0000
0.3616 0.1384 0.0000
0.6384 0.8616 0.0000
0.8616 0.3616 0.0000

***

(2)
Tl2CoIr, relaxed, DFT PBE-GGA; DFT formation energy = 600 meV per atom; energy above the lowest structure with this stoichiometry = 0.75 eV/f.u.; symmetry = Fm-3m
1.0
0.0000 3.2890 3.2890
3.2890 0.0000 3.2890
3.2890 3.2890 0.0000
Tl Co Ir
2 1 1
direct
0.2500 0.2500 0.2500
0.7500 0.7500 0.7500
0.0000 0.0000 0.0000
0.5000 0.5000 0.5000

***

(3)
PrGaTc, relaxed, DFT PBE-GGA; DFT formation energy = -290 meV per atom; symmetry = C2/m
1.0
5.2868 -2.2218 0.0000
5.2868 2.2218 0.0000
-4.9249 0.0000 5.6168
Pr Ga Tc
2 2 2
direct
0.0592 0.0592 0.3121
0.9408 0.9408 0.6879
0.3122 0.3122 0.2364
0.6878 0.6878 0.7636
0.3623 0.3623 0.9310
0.6377 0.6377 0.0690

***

(4)
TcPbAu2, relaxed, DFT PBE-GGA; DFT formation energy = 562 meV per atom; symmetry = I-42d
1.0
-1.9858 1.9858 10.4265
1.9858 -1.9858 10.4265
1.9858 1.9858 -10.4265
Tc Pb Au
2 2 4
direct
0.0000 0.0000 0.0000
0.7500 0.2500 0.5000
0.2500 0.7500 0.5000
0.5000 0.5000 0.0000
0.1152 0.6250 0.9902
0.3750 0.3652 0.4902
0.6348 0.1250 0.0098
0.8750 0.8848 0.5098

***

Copy entry 1 word for word.
KSb2As2, relaxed, DFT PBE-GGA; energy relative to the elements, uncorrected = 0.06 eV/atom; energy above the lowest structure with this stoichiometry = 1.01 eV/f.u.; symmetry = P4/mbm
1.0
8.2793 0.0000 0.0000
0.0000 8.2793 0.0000
0.0000 0.0000 3.9277
K Sb As
2 4 4
direct
0.0000 0.0000 0.0000
0.5000 0.5000 0.0000
0.1416 0.3584 0.5000
0.3584 0.8584 0.5000
0.6416 0.1416 0.5000
0.8584 0.6416 0.5000
0.1384 0.6384 0.0000
0.3616 0.1384 0.0000
0.6384 0.8616 0.0000
0.8616 0.3616 0.0000